Entry w
## Li2VH2OF5 (PBE with a Hubbard U)

Data for a relaxed structure of Li2VH2OF5.

The calculation puts the theoretical density at 2.5 g/cm³. For the density of states at the Fermi level, the calculation gives 0.000 states/eV/atom. The total moment is 4.000 μB/cell.

The structure in POSCAR format:
```
Li2VH2OF5
1.0
5.7400 0.0043 -0.0013
2.2437 5.2834 -0.0013
0.5318 0.3522 7.8314
Li V H O F
4 2 4 2 10
Direct
0.7403 0.7204 0.4974 Li
0.7204 0.7403 0.9974 Li
0.2796 0.2597 0.0026 Li
0.2597 0.2796 0.5026 Li
0.7714 0.2286 0.2500 V
0.2286 0.7714 0.7500 V
0.2110 0.8582 0.3410 H
0.8582 0.2110 0.8410 H
0.1418 0.7890 0.1590 H
0.7890 0.1418 0.6590 H
0.0864 0.9136 0.2500 O
0.9136 0.0864 0.7500 O
0.4748 0.5252 0.2500 F
0.5252 0.4748 0.7500 F
0.9470 0.4039 0.3712 F
0.4039 0.9470 0.8712 F
0.5961 0.0530 0.1288 F
0.0530 0.5961 0.6288 F
0.8894 0.3437 0.0260 F
0.3437 0.8894 0.5260 F
0.6563 0.1106 0.4740 F
0.1106 0.6563 0.9740 F
```

Entry x
## Li2VH2OF5 (PBE with a Hubbard U)

Data for a relaxed structure of Li2VH2OF5.

The calculation puts the theoretical density at 2.5 g/cm³. For the density of states at the Fermi level, the calculation gives 0.000 states/eV/atom. The total moment is 4.000 μB/cell.

The structure in POSCAR format:
```
Li2VH2OF5
1.0
-0.2198 4.1871 -4.0994
-5.0736 0.6345 -1.5814
-1.4273 5.6898 5.2353
Li V H O F
4 2 4 2 10
Direct
0.7025 0.7516 0.4273 Li
0.7816 0.6764 0.0368 Li
0.2291 0.3265 0.9565 Li
0.3083 0.2507 0.5660 Li
0.7692 0.2033 0.7460 V
0.2417 0.7992 0.2474 V
0.2161 0.9082 0.8189 H
0.1748 0.8164 0.6347 H
0.8366 0.1861 0.3591 H
0.7947 0.0948 0.1749 H
0.1395 0.9711 0.7082 O
0.8717 0.0315 0.2854 O
0.3535 0.0373 0.3685 F
0.2708 0.9714 0.0237 F
0.8976 0.4386 0.8631 F
0.2043 0.6170 0.4662 F
0.4134 0.4041 0.7720 F
0.5973 0.5982 0.2210 F
0.8071 0.3853 0.5272 F
0.1129 0.5643 0.1303 F
0.7393 0.0317 0.9698 F
0.6580 0.9649 0.6247 F
```

Verdict on stability: entry w comes out at the bottom.